[1]
Entry from Alexandria via LeMat-Bulk: an optimized crystal structure of ScAsCl2 (PBE).

Values from the calculation:
formation energy from raw total energies = -942 meV per atom
SG = Imm2 (44)
E above lowest polymorph = 0.863 eV per formula unit
Fermi-level density of states = 0.501 states/eV per atom

```
8
Lattice="3.1801 0.0000 0.0000 0.0000 4.8437 0.0000 0.0000 0.0000 14.9055" Properties=species:S:1:pos:R:3 pbc="T T T"
Sc 0.0000 0.0000 0.0000
Sc 1.5901 2.4219 7.4528
As 0.0000 2.4219 5.1550
As 1.5901 0.0000 12.6078
Cl 0.0000 0.0000 7.0890
Cl 0.0000 2.4219 9.3619
Cl 1.5901 0.0000 1.9092
Cl 1.5901 2.4219 14.5418
```

[2]
Entry from Alexandria via LeMat-Bulk: an optimized crystal structure of ZrIr2Au (PBE).

Values from the calculation:
SG = P4/mmm (123)
E above lowest polymorph = 0.913 eV per formula unit
Fermi-level density of states = 0.858 states/eV per atom
E_form = -0.305 eV/atom

```
4
Lattice="3.4093 0.0000 0.0000 0.0000 3.4093 0.0000 0.0000 0.0000 5.8905" Properties=species:S:1:pos:R:3 pbc="T T T"
Zr 0.0000 0.0000 0.0000
Ir 1.7047 1.7047 1.5003
Ir 1.7047 1.7047 4.3902
Au 0.0000 0.0000 2.9452
```

[3]
Entry from Alexandria via LeMat-Bulk: an optimized crystal structure of SrCd2NiSb (PBE).

Values from the calculation:
formation energy from raw total energies = -264 meV per atom
SG = P4/mmm (123)
Fermi-level density of states = 0.483 states/eV per atom

```
5
Lattice="5.0177 0.0000 0.0000 0.0000 5.0177 0.0000 0.0000 0.0000 5.0981" Properties=species:S:1:pos:R:3 pbc="T T T"
Sr 0.0000 0.0000 0.0000
Cd 0.0000 2.5089 2.5490
Cd 2.5089 0.0000 2.5490
Ni 2.5089 2.5089 2.5490
Sb 2.5089 2.5089 0.0000
```

[4]
Entry from Alexandria via LeMat-Bulk: an optimized crystal structure of NaNd2CuS4 (PBE).

Values from the calculation:
formation energy from raw total energies = -1569 meV per atom
SG = Cmcm (63)

```
16
Lattice="2.0130 -6.7379 0.0000 2.0130 6.7379 0.0000 0.0000 0.0000 14.0176" Properties=species:S:1:pos:R:3 pbc="T T T"
Na 2.0130 5.2552 10.5132
Na 2.0130 -5.2552 3.5044
Nd 2.0130 1.8178 7.9254
Nd 2.0130 1.8178 13.1010
Nd 2.0130 -1.8178 0.9166
Nd 2.0130 -1.8178 6.0922
Cu 2.0130 4.5906 3.5044
Cu 2.0130 -4.5906 10.5132
S 0.0000 0.0000 0.0000
S 0.0000 0.0000 7.0088
S 2.0130 3.1152 1.6746
S 2.0130 3.1152 5.3342
S 2.0130 0.7939 10.5132
S 2.0130 -0.7939 3.5044
S 2.0130 -3.1152 8.6834
S 2.0130 -3.1152 12.3430
```

no.,total energy (eV per atom),magnetic moment (μB per formula unit)
1,-4.61,0.0
2,-7.69,0.0
3,-2.95,0.0
4,-5.50,0.0